# 1
12
Lattice="7.657 0.225 0.000 2.369 7.317 0.000 1.185 3.658 6.646" Properties=species:S:1:pos:R:3 comment="Ba5ErS6, optimized geometry, DFT GGA-PBE" n_ef_per_ev_cell=2.3 e_form_raw_ev_per_atom=-2.024 pbc="T T T"
S 6.442 1.833 2.003
S 3.584 5.709 2.003
S 4.769 9.367 4.644
S 7.627 5.492 4.644
S 2.298 1.680 0.000
S 7.729 5.862 0.000
Er 0.000 0.000 0.000
Ba 1.185 3.658 2.206
Ba 5.013 3.771 0.000
Ba 5.013 3.771 4.387
Ba 2.369 7.317 4.440
Ba 6.198 7.429 2.259



# 2
4
Lattice="4.020 0.000 0.000 2.010 3.482 0.000 2.010 1.161 7.420" Properties=species:S:1:pos:R:3 comment="BaErS2, optimized geometry, DFT GGA-PBE" n_ef_per_ev_cell=2.2 e_form_raw_ev_per_atom=-1.930 pbc="T T T"
Ba 4.020 2.321 3.795
S 2.010 1.161 5.895
S 2.010 1.161 1.498
Er 6.030 3.482 7.361



# 3
4
Lattice="4.077 0.013 0.010 2.028 3.537 0.010 2.004 1.166 7.158" Properties=species:S:1:pos:R:3 comment="BaErS2, optimized geometry, DFT GGA-PBE" n_ef_per_ev_cell=1.7 e_form_raw_ev_per_atom=-1.993 pbc="T T T"
S 2.029 1.180 1.476
S 6.081 3.536 5.702
Er 0.000 0.000 0.000
Ba 4.055 2.358 3.589



# 4
11
Lattice="-7.040 0.686 1.776 1.705 -2.257 -7.344 0.943 -5.211 5.751" Properties=species:S:1:pos:R:3 comment="Ba2ErSb2S6, optimized geometry, DFT GGA-PBE" n_ef_per_ev_cell=3.7 e_form_raw_ev_per_atom=-1.177 pbc="T T T"
S 0.402 -2.756 -4.743
S -4.795 -4.025 4.926
S -1.314 -4.365 4.048
S -3.078 -2.417 -3.865
S -0.656 -3.239 -1.348
S -3.737 -3.543 1.531
Er -3.049 -2.262 3.763
Sb 0.045 -1.285 0.674
Sb -4.437 -5.496 -0.491
Ba -0.219 -5.139 1.117
Ba -4.173 -1.642 -0.934



# 5
14
Lattice="-6.680 2.489 -3.312 -1.622 -1.869 -7.461 -5.818 -5.272 -1.555" Properties=species:S:1:pos:R:3 comment="BaErSc4S8, optimized geometry, DFT GGA-PBE" n_ef_per_ev_cell=6.0 e_form_raw_ev_per_atom=-1.827 pbc="T T T"
S -9.960 -2.212 -5.562
S -6.140 -3.635 -3.668
S -3.746 -1.552 -2.938
S -4.292 -2.198 -6.798
S -10.530 -3.382 -9.286
S -6.923 0.069 -4.640
S -7.767 -0.903 -8.521
S -7.068 -4.704 -7.935
Sc -2.934 -2.650 -0.794
Sc -3.735 -3.573 -4.479
Sc -6.234 -1.420 -2.430
Sc -5.906 -0.254 -6.934
Ba -8.256 -4.474 -5.366
Er -5.802 -5.245 -1.566



# 6
18
Lattice="4.203 0.000 0.000 -2.101 8.511 0.000 0.000 0.000 13.407" Properties=species:S:1:pos:R:3 comment="Ba2ErScS5, optimized geometry, DFT GGA-PBE" n_ef_per_ev_cell=0.0 e_form_raw_ev_per_atom=-2.046 pbc="T T T"
Ba 0.000 1.798 9.196
Ba 2.101 6.061 10.797
Ba 2.101 6.713 2.492
Ba 0.000 2.450 4.094
S 2.101 0.162 3.740
S 0.000 0.888 0.631
S 0.000 4.823 8.714
S 0.000 6.327 13.379
S 2.101 7.623 7.334
S 2.101 3.023 11.908
S 0.000 8.349 10.444
S 2.101 2.184 6.676
S 2.101 3.688 2.010
S 0.000 5.488 5.204
Sc 0.000 8.040 6.076
Sc 2.101 0.471 12.779
Er 0.000 3.611 0.236
Er 2.101 4.900 6.940



# 7
14
Lattice="8.184 0.000 0.000 4.092 7.087 0.000 4.092 2.362 6.517" Properties=species:S:1:pos:R:3 comment="BaEr4ScS8, optimized geometry, DFT GGA-PBE" n_ef_per_ev_cell=4.2 e_form_raw_ev_per_atom=-1.924 pbc="T T T"
Er 4.092 4.681 3.268
Er 8.184 4.725 0.842
Er 6.100 1.203 3.268
Er 2.084 1.203 3.268
Ba 8.184 4.725 5.590
S 5.790 3.343 4.835
S 8.184 7.489 4.835
S 6.003 5.984 1.658
S 4.092 2.362 1.947
S 8.184 2.207 1.658
S 12.276 7.087 4.745
S 10.578 3.343 4.835
S 10.365 5.984 1.658
Sc 4.092 2.363 6.469



# 8
14
Lattice="8.180 0.000 0.000 4.090 7.084 0.000 4.090 2.361 6.778" Properties=species:S:1:pos:R:3 comment="BaSmEr4S8, optimized geometry, DFT GGA-PBE" n_ef_per_ev_cell=3.6 e_form_raw_ev_per_atom=-1.955 pbc="T T T"
S 8.180 7.397 4.900
S 4.090 2.361 2.083
S 10.311 5.953 1.786
S 10.496 3.386 4.900
S 12.270 7.084 4.936
S 8.180 2.262 1.786
S 5.864 3.386 4.900
S 6.049 5.953 1.786
Er 6.107 1.197 3.401
Er 4.090 4.690 3.401
Er 2.073 1.197 3.401
Er 8.180 4.723 0.843
Ba 8.180 4.723 5.970
Sm 4.090 2.361 6.738